Mn2ReRu: relaxed, PBE.

Its formation energy is 205 meV/atom. The theoretical density is 12.19 Mg/m³.

The space group is Immm (No. 71) and the conventional cell measures 3.1161, 4.2137 and 8.2394 Å, with angles of 90.00, 90.00 and 90.00 degrees. Symmetry generates all atoms from Mn at (0.0000, 0.0000, 0.2480), Re at (0.0000, 0.5000, 0.5000) and Ru at (0.0000, 0.5000, 0.0000).



LiICl4: relaxed, PBE.

Its formation energy from raw total energies is -4.21 eV/f.u. The theoretical density is 2.40 Mg/m³.

The space group is P2_1/c (No. 14) and the conventional cell measures 6.8887, 4.5482 and 13.1402 Å, with angles of 90.00, 111.96 and 90.00 degrees. Symmetry generates all atoms from Li at (0.0000, 0.0000, 0.0000), I at (0.5000, 0.0000, 0.5000), Cl at (0.1928, 0.1926, 0.8785) and Cl at (0.2811, 0.6598, 0.1083).



Re7Cl: relaxed, PBE.

Its formation energy from raw total energies is 7.09 eV/f.u. The theoretical density is 18.22 Mg/m³.

The space group is Fm-3m (No. 225) and the conventional cell measures 7.8732, 7.8732 and 7.8732 Å, with angles of 90.00, 90.00 and 90.00 degrees. Symmetry generates all atoms from Re at (0.0000, 0.0000, 0.0000), Re at (0.0000, 0.2500, 0.2500) and Cl at (0.0000, 0.0000, 0.5000).



Er8AlHg2: relaxed, PBE.

Its formation energy is -110 meV/atom. The theoretical density is 9.39 Mg/m³.

The space group is C2/m (No. 12) and the conventional cell measures 8.6856, 14.4321 and 5.3526 Å, with angles of 90.00, 111.44 and 90.00 degrees. Symmetry generates all atoms from Er at (0.0000, 0.2178, 0.0000), Er at (0.1106, 0.5000, 0.8052), Er at (0.2086, 0.1145, 0.6057), Al at (0.0000, 0.0000, 0.0000) and Hg at (0.0000, 0.3053, 0.5000).



Ba2InOs: relaxed, PBE.

Its formation energy is 600 meV/atom. The theoretical density is 7.63 Mg/m³.

The space group is P4/mmm (No. 123) and the conventional cell measures 5.3906, 5.3906 and 4.3409 Å, with angles of 90.00, 90.00 and 90.00 degrees. Symmetry generates all atoms from Ba at (0.0000, 0.5000, 0.0000), In at (0.0000, 0.0000, 0.5000) and Os at (0.5000, 0.5000, 0.5000).



Ce2SbSe: relaxed, PBE.

Its formation energy from raw total energies is -5.14 eV/f.u. The theoretical density is 6.65 Mg/m³.

The space group is R3m (No. 160, hexagonal axes) and the conventional cell measures 4.2440, 4.2440 and 23.0805 Å, with angles of 90.00, 90.00 and 120.00 degrees. Symmetry generates all atoms from Ce at (0.0000, 0.0000, 0.0000), Ce at (0.0000, 0.0000, 0.1648), Sb at (0.0000, 0.0000, 0.5835) and Se at (0.0000, 0.0000, 0.4138).



NaAcP2Pt5: relaxed, PBE.

Its formation energy is -631 meV/atom. The theoretical density is 10.96 Mg/m³.

The space group is P4/mmm (No. 123) and the conventional cell measures 4.2301, 4.2301 and 10.9009 Å, with angles of 90.00, 90.00 and 90.00 degrees. Symmetry generates all atoms from Na at (0.0000, 0.0000, 0.0000), Ac at (0.0000, 0.0000, 0.5000), P at (0.5000, 0.5000, 0.2886), Pt at (0.0000, 0.5000, 0.2076) and Pt at (0.5000, 0.5000, 0.5000).



BaSeIBr2: relaxed, PBE.

Its formation energy from raw total energies is -3.11 eV/f.u. The theoretical density is 4.31 Mg/m³.

The space group is P4/mmm (No. 123) and the conventional cell measures 5.6721, 5.6721 and 6.0213 Å, with angles of 90.00, 90.00 and 90.00 degrees. Symmetry generates all atoms from Ba at (0.0000, 0.0000, 0.0000), Se at (0.5000, 0.5000, 0.0000), I at (0.5000, 0.5000, 0.5000) and Br at (0.0000, 0.5000, 0.5000).



> What is the formula in the fourth record?

Er8AlHg2



> The lowest theoretical density belongs to which entry?

LiICl4



> Which formula does entry 2 have?

LiICl4



> Among the records above, which one has the highest theoretical density?

Re7Cl